# Rb2BaHgF8, optimized geometry, DFT PBE-GGA
# - calculated volume (Å³/atom) = 20.1
# - total magnetization (μB per cell) = 2.1
# - ΔE_f (raw) (eV per atom) = -2.273
# - raw total energy (eV per cell) = -46.4
data_Rb2BaHgF8
_chemical_formula_sum 'Rb2 Ba1 Hg1 F8'
_space_group_name_H-M_alt 'P 1'
_space_group_IT_number 1
_space_group_name_Hall 'P 1'
_cell_length_a 4.4707
_cell_length_b 8.3499
_cell_length_c 6.4978
_cell_angle_alpha 90.00
_cell_angle_beta 96.18
_cell_angle_gamma 90.00
loop_
_atom_site_label
_atom_site_type_symbol
_atom_site_fract_x
_atom_site_fract_y
_atom_site_fract_z
_atom_site_occupancy
Rb1 Rb 0.0000 0.2394 0.0000 1
Rb2 Rb 0.0000 0.7606 0.0000 1
Ba1 Ba 0.5000 0.5000 0.5000 1
Hg1 Hg 0.5000 0.0000 0.5000 1
F1 F 0.0273 0.5000 0.7319 1
F2 F 0.0909 0.0000 0.3047 1
F3 F 0.4343 0.2061 0.7016 1
F4 F 0.4343 0.7939 0.7016 1
F5 F 0.5657 0.2061 0.2984 1
F6 F 0.5657 0.7939 0.2984 1
F7 F 0.9091 0.0000 0.6953 1
F8 F 0.9727 0.5000 0.2681 1

# BaHgSbF, optimized geometry, DFT PBE-GGA
# - calculated volume (Å³/atom) = 26.9
# - total magnetization (μB per cell) = 0.0
# - ΔE_f (raw) (eV per atom) = -1.689
# - raw total energy (eV per cell) = -29.9
data_BaHgSbF
_chemical_formula_sum 'Ba2 Hg2 Sb2 F2'
_space_group_name_H-M_alt 'P 1'
_space_group_IT_number 1
_space_group_name_Hall 'P 1'
_cell_length_a 4.7454
_cell_length_b 4.7454
_cell_length_c 9.5555
_cell_angle_alpha 90.00
_cell_angle_beta 90.00
_cell_angle_gamma 90.00
loop_
_atom_site_label
_atom_site_type_symbol
_atom_site_fract_x
_atom_site_fract_y
_atom_site_fract_z
_atom_site_occupancy
Ba1 Ba 0.2500 0.2500 0.1424 1
Ba2 Ba 0.7500 0.7500 0.8576 1
Hg1 Hg 0.2500 0.7500 0.5000 1
Hg2 Hg 0.7500 0.2500 0.5000 1
Sb1 Sb 0.2500 0.2500 0.6883 1
Sb2 Sb 0.7500 0.7500 0.3117 1
F1 F 0.2500 0.7500 0.0000 1
F2 F 0.7500 0.2500 0.0000 1

# BaScHg2F, optimized geometry, DFT PBE-GGA
# - calculated volume (Å³/atom) = 30.1
# - total magnetization (μB per cell) = 1.0
# - ΔE_f (raw) (eV per atom) = -0.752
# - raw total energy (eV per cell) = -14.5
data_BaScHg2F
_chemical_formula_sum 'Ba1 Sc1 Hg2 F1'
_space_group_name_H-M_alt 'P 1'
_space_group_IT_number 1
_space_group_name_Hall 'P 1'
_cell_length_a 5.6125
_cell_length_b 5.6125
_cell_length_c 4.7707
_cell_angle_alpha 90.00
_cell_angle_beta 90.00
_cell_angle_gamma 90.00
loop_
_atom_site_label
_atom_site_type_symbol
_atom_site_fract_x
_atom_site_fract_y
_atom_site_fract_z
_atom_site_occupancy
Ba1 Ba 0.0000 0.0000 0.0000 1
Sc1 Sc 0.5000 0.5000 0.0000 1
Hg1 Hg 0.0000 0.5000 0.5000 1
Hg2 Hg 0.5000 0.0000 0.5000 1
F1 F 0.0000 0.0000 0.5000 1

# BaSi2HgF, optimized geometry, DFT PBE-GGA
# - calculated volume (Å³/atom) = 50.4
# - total magnetization (μB per cell) = 2.7
# - ΔE_f (raw) (eV per atom) = 0.974
# - raw total energy (eV per cell) = -10.1
data_BaSi2HgF
_chemical_formula_sum 'Ba1 Si2 Hg1 F1'
_space_group_name_H-M_alt 'P 1'
_space_group_IT_number 1
_space_group_name_Hall 'P 1'
_cell_length_a 6.0666
_cell_length_b 6.0666
_cell_length_c 6.8483
_cell_angle_alpha 90.00
_cell_angle_beta 90.00
_cell_angle_gamma 90.00
loop_
_atom_site_label
_atom_site_type_symbol
_atom_site_fract_x
_atom_site_fract_y
_atom_site_fract_z
_atom_site_occupancy
Ba1 Ba 0.0000 0.0000 0.0000 1
Si1 Si 0.0000 0.5000 0.0000 1
Si2 Si 0.5000 0.0000 0.0000 1
Hg1 Hg 0.0000 0.0000 0.5000 1
F1 F 0.5000 0.5000 0.5000 1

# BaSn2HgF, optimized geometry, DFT PBE-GGA
# - calculated volume (Å³/atom) = 58.6
# - total magnetization (μB per cell) = 2.4
# - ΔE_f (raw) (eV per atom) = 0.455
# - raw total energy (eV per cell) = -9.8
data_BaSn2HgF
_chemical_formula_sum 'Ba1 Sn2 Hg1 F1'
_space_group_name_H-M_alt 'P 1'
_space_group_IT_number 1
_space_group_name_Hall 'P 1'
_cell_length_a 6.5887
_cell_length_b 6.5887
_cell_length_c 6.7533
_cell_angle_alpha 90.00
_cell_angle_beta 90.00
_cell_angle_gamma 90.00
loop_
_atom_site_label
_atom_site_type_symbol
_atom_site_fract_x
_atom_site_fract_y
_atom_site_fract_z
_atom_site_occupancy
Ba1 Ba 0.0000 0.0000 0.0000 1
Sn1 Sn 0.0000 0.5000 0.0000 1
Sn2 Sn 0.5000 0.0000 0.0000 1
Hg1 Hg 0.0000 0.0000 0.5000 1
F1 F 0.5000 0.5000 0.5000 1

# BaSrHg2F, optimized geometry, DFT PBE-GGA
# - calculated volume (Å³/atom) = 60.4
# - total magnetization (μB per cell) = 0.0
# - ΔE_f (raw) (eV per atom) = -0.234
# - raw total energy (eV per cell) = -7.3
data_BaSrHg2F
_chemical_formula_sum 'Ba1 Sr1 Hg2 F1'
_space_group_name_H-M_alt 'P 1'
_space_group_IT_number 1
_space_group_name_Hall 'P 1'
_cell_length_a 6.0441
_cell_length_b 6.0441
_cell_length_c 8.2604
_cell_angle_alpha 90.00
_cell_angle_beta 90.00
_cell_angle_gamma 90.00
loop_
_atom_site_label
_atom_site_type_symbol
_atom_site_fract_x
_atom_site_fract_y
_atom_site_fract_z
_atom_site_occupancy
Ba1 Ba 0.0000 0.0000 0.0000 1
Sr1 Sr 0.0000 0.0000 0.5000 1
Hg1 Hg 0.0000 0.5000 0.5000 1
Hg2 Hg 0.5000 0.0000 0.5000 1
F1 F 0.5000 0.5000 0.0000 1

# BaSrHg2F8, optimized geometry, DFT PBE-GGA
# - calculated volume (Å³/atom) = 16.8
# - total magnetization (μB per cell) = 0.0
# - ΔE_f (raw) (eV per atom) = -2.646
# - raw total energy (eV per cell) = -50.9
data_BaSrHg2F8
_chemical_formula_sum 'Ba1 Sr1 Hg2 F8'
_space_group_name_H-M_alt 'P 1'
_space_group_IT_number 1
_space_group_name_Hall 'P 1'
_cell_length_a 7.1691
_cell_length_b 7.1691
_cell_length_c 7.1691
_cell_angle_alpha 131.66
_cell_angle_beta 131.66
_cell_angle_gamma 70.76
loop_
_atom_site_label
_atom_site_type_symbol
_atom_site_fract_x
_atom_site_fract_y
_atom_site_fract_z
_atom_site_occupancy
Ba1 Ba 0.0000 0.0000 0.0000 1
Sr1 Sr 0.7500 0.2500 0.5000 1
Hg1 Hg 0.2500 0.7500 0.5000 1
Hg2 Hg 0.5000 0.5000 0.0000 1
F1 F 0.1362 0.1304 0.5247 1
F2 F 0.1362 0.6116 0.0058 1
F3 F 0.3884 0.3942 0.5247 1
F4 F 0.3884 0.8638 0.9942 1
F5 F 0.6058 0.1304 0.9942 1
F6 F 0.6058 0.6116 0.4753 1
F7 F 0.8696 0.3942 0.0058 1
F8 F 0.8696 0.8638 0.4753 1

# BaTcHg2F8, optimized geometry, DFT PBE-GGA
# - calculated volume (Å³/atom) = 19.6
# - total magnetization (μB per cell) = 3.0
# - ΔE_f (raw) (eV per atom) = -2.248
# - raw total energy (eV per cell) = -54.8
data_BaTcHg2F8
_chemical_formula_sum 'Ba1 Tc1 Hg2 F8'
_space_group_name_H-M_alt 'P 1'
_space_group_IT_number 1
_space_group_name_Hall 'P 1'
_cell_length_a 4.9662
_cell_length_b 6.5560
_cell_length_c 7.3264
_cell_angle_alpha 82.76
_cell_angle_beta 88.29
_cell_angle_gamma 85.23
loop_
_atom_site_label
_atom_site_type_symbol
_atom_site_fract_x
_atom_site_fract_y
_atom_site_fract_z
_atom_site_occupancy
Ba1 Ba 0.0000 0.0000 0.0000 1
Tc1 Tc 0.0000 0.0000 0.5000 1
Hg1 Hg 0.4990 0.4092 0.6656 1
Hg2 Hg 0.5010 0.5908 0.3344 1
F1 F 0.0581 0.2190 0.6571 1
F2 F 0.1522 0.7986 0.7009 1
F3 F 0.3297 0.0217 0.3499 1
F4 F 0.4995 0.7598 0.0638 1
F5 F 0.5005 0.2402 0.9362 1
F6 F 0.6703 0.9783 0.6501 1
F7 F 0.8478 0.2014 0.2991 1
F8 F 0.9419 0.7810 0.3429 1

# BaTlHg2F8, optimized geometry, DFT PBE-GGA
# - calculated volume (Å³/atom) = 16.7
# - total magnetization (μB per cell) = 0.0
# - ΔE_f (raw) (eV per atom) = -2.098
# - raw total energy (eV per cell) = -45.0
data_BaTlHg2F8
_chemical_formula_sum 'Ba1 Tl1 Hg2 F8'
_space_group_name_H-M_alt 'P 1'
_space_group_IT_number 1
_space_group_name_Hall 'P 1'
_cell_length_a 4.1659
_cell_length_b 8.2133
_cell_length_c 5.8512
_cell_angle_alpha 90.00
_cell_angle_beta 90.36
_cell_angle_gamma 90.00
loop_
_atom_site_label
_atom_site_type_symbol
_atom_site_fract_x
_atom_site_fract_y
_atom_site_fract_z
_atom_site_occupancy
Ba1 Ba 0.0000 0.0000 0.0000 1
Tl1 Tl 0.0000 0.5000 0.0000 1
Hg1 Hg 0.5000 0.2591 0.5000 1
Hg2 Hg 0.5000 0.7409 0.5000 1
F1 F 0.0033 0.2678 0.2621 1
F2 F 0.0033 0.7322 0.2621 1
F3 F 0.4976 0.0000 0.7273 1
F4 F 0.4976 0.5000 0.7579 1
F5 F 0.5024 0.0000 0.2727 1
F6 F 0.5024 0.5000 0.2421 1
F7 F 0.9967 0.2678 0.7379 1
F8 F 0.9967 0.7322 0.7379 1

# BaTl2HgF6, optimized geometry, DFT PBE-GGA
# - calculated volume (Å³/atom) = 21.2
# - total magnetization (μB per cell) = 0.0
# - ΔE_f (raw) (eV per atom) = -2.263
# - raw total energy (eV per cell) = -81.6
data_BaTl2HgF6
_chemical_formula_sum 'Ba2 Tl4 Hg2 F12'
_space_group_name_H-M_alt 'P 1'
_space_group_IT_number 1
_space_group_name_Hall 'P 1'
_cell_length_a 6.4842
_cell_length_b 6.9069
_cell_length_c 11.4746
_cell_angle_alpha 90.00
_cell_angle_beta 124.39
_cell_angle_gamma 90.00
loop_
_atom_site_label
_atom_site_type_symbol
_atom_site_fract_x
_atom_site_fract_y
_atom_site_fract_z
_atom_site_occupancy
Ba1 Ba 0.0000 0.0000 0.0000 1
Ba2 Ba 0.0000 0.5000 0.5000 1
Tl1 Tl 0.2285 0.0434 0.7391 1
Tl2 Tl 0.2285 0.4566 0.2391 1
Tl3 Tl 0.7715 0.5434 0.7609 1
Tl4 Tl 0.7715 0.9566 0.2609 1
Hg1 Hg 0.5000 0.0000 0.5000 1
Hg2 Hg 0.5000 0.5000 0.0000 1
F1 F 0.1518 0.1738 0.4597 1
F2 F 0.1518 0.3262 0.9597 1
F3 F 0.2558 0.7161 0.4359 1
F4 F 0.2558 0.7839 0.9359 1
F5 F 0.3747 0.0500 0.2633 1
F6 F 0.3747 0.4500 0.7633 1
F7 F 0.6253 0.5500 0.2367 1
F8 F 0.6253 0.9500 0.7367 1
F9 F 0.7442 0.2161 0.0641 1
F10 F 0.7442 0.2839 0.5641 1
F11 F 0.8482 0.6738 0.0403 1
F12 F 0.8482 0.8262 0.5403 1

> Which value of total magnetization does entry 1 give?

2.1 μB per cell